(1)
! Ba2Ga3 PBE-GGA relaxed; values from VASP
&SYSTEM
  ibrav = 0, nat = 10, ntyp = 2
/
ATOMIC_SPECIES
Ba 137.33 Ba.upf
Ga 69.72 Ga.upf
CELL_PARAMETERS angstrom
5.087 0.000 -0.837
0.000 4.452 0.000
-0.261 0.000 14.285
ATOMIC_POSITIONS angstrom
Ba 1.971 1.113 11.975
Ba 1.367 3.339 8.303
Ga 0.524 1.113 3.184
Ba 2.855 3.339 1.473
Ba 3.459 1.113 5.145
Ga 0.746 3.339 4.532
Ga 4.722 3.339 12.816
Ga 0.104 1.113 0.632
Ga 4.080 1.113 8.915
Ga 4.302 3.339 10.263
! size of the total moment	0.0	μB/f.u.
! volume	32.3	A^3/atom
! ΔE_f	-0.426	eV/atom
! crystal system	orthorhombic

---

(2)
! Ba2GdGa PBE-GGA relaxed; values from VASP
&SYSTEM
  ibrav = 0, nat = 4, ntyp = 3
/
ATOMIC_SPECIES
Gd 157.25 Gd.upf
Ba 137.33 Ba.upf
Ga 69.72 Ga.upf
CELL_PARAMETERS angstrom
3.948 0.000 0.000
1.974 3.419 0.000
1.974 1.140 12.447
ATOMIC_POSITIONS angstrom
Gd 0.000 0.000 0.000
Ba 5.923 3.419 3.745
Ga 3.948 2.280 6.224
Ba 1.974 1.140 8.702
! size of the total moment	7.6	μB/f.u.
! volume	42.0	A^3/atom
! ΔE_f	0.212	eV/atom
! crystal system	trigonal

---

(3)
! BaGdGa4 PBE-GGA relaxed; values from VASP
&SYSTEM
  ibrav = 0, nat = 6, ntyp = 3
/
ATOMIC_SPECIES
Ga 69.72 Ga.upf
Gd 157.25 Gd.upf
Ba 137.33 Ba.upf
CELL_PARAMETERS angstrom
5.771 0.000 0.000
2.886 4.998 0.000
2.886 1.666 4.712
ATOMIC_POSITIONS angstrom
Ga 5.771 1.657 2.948
Ga 7.222 4.170 2.948
Gd 0.000 0.000 0.000
Ba 2.886 1.666 1.178
Ga 5.771 3.332 0.579
Ga 4.320 4.170 2.948
! size of the total moment	7.1	μB/f.u.
! volume	22.7	A^3/atom
! ΔE_f	-0.399	eV/atom
! crystal system	cubic